Record 1
Computed, not measured: a geometry-optimized PrLuO3 structure at the GGA-PBEsol level of DFT.

Calculated values
M_tot = 0.00 μB/cell
Calculated total energy = -8.71 eV/atom
Calculated volume = 13.97 Å³ per atom

Lattice parameters (Å, degrees): 5.938 8.251 5.703 90.00 90.00 90.00
Space group Pnma (No. 62)
Asymmetric unit:
Pr1 0.055 0.250 0.018 [4 per cell]
Lu1 0.000 0.000 0.500 [4 per cell]
O1 0.053 0.750 0.376 [4 per cell]
O2 0.198 0.566 0.804 [8 per cell]

---

Record 2
Computed, not measured: a geometry-optimized Rb3LuO3 structure at the GGA-PBEsol level of DFT.

Calculated values
M_tot = 0.56 μB/cell
Calculated total energy = -5.37 eV/atom
Calculated volume = 22.69 Å³ per atom

Lattice parameters (Å, degrees): 7.523 12.095 7.087 90.00 99.86 90.00
Space group C2/m (No. 12)
Asymmetric unit:
Rb1 0.000 0.204 0.000 [4 per cell]
Rb2 0.000 0.259 0.500 [4 per cell]
Rb3 0.139 0.500 0.859 [4 per cell]
Lu1 0.176 0.000 0.648 [4 per cell]
O1 0.102 0.000 0.346 [4 per cell]
O2 0.196 0.361 0.232 [8 per cell]

---

Record 3
Computed, not measured: a geometry-optimized Rb3LuO3 structure at the GGA-PBEsol level of DFT.

Calculated values
M_tot = 0.36 μB/cell
Calculated total energy = -5.38 eV/atom
Calculated volume = 22.62 Å³ per atom

Lattice parameters (Å, degrees): 7.655 7.209 11.504 90.00 93.93 90.00
Space group P2_1/c (No. 14)
Asymmetric unit:
Rb1 0.068 0.123 0.157 [4 per cell]
Rb2 0.358 0.163 0.922 [4 per cell]
Rb3 0.376 0.694 0.811 [4 per cell]
Lu1 0.159 0.589 0.069 [4 per cell]
O1 0.112 0.051 0.408 [4 per cell]
O2 0.254 0.648 0.547 [4 per cell]
O3 0.301 0.055 0.695 [4 per cell]

---

Record 4
Computed, not measured: a geometry-optimized RbLuW2O8 structure at the GGA-PBEsol level of DFT.

Calculated values
M_tot = 0.00 μB/cell
Calculated total energy = -8.80 eV/atom
Calculated volume = 19.29 Å³ per atom

Lattice parameters (Å, degrees): 5.9269 5.9269 7.6094 90.00 90.00 120.00
Space group P-3m1 (No. 164)
Asymmetric unit:
Rb1 0.0000 0.0000 0.0000 [1 per cell]
Lu1 0.0000 0.0000 0.5000 [1 per cell]
W1 0.3333 0.6667 0.2514 [2 per cell]
O1 0.1672 0.3343 0.3268 [6 per cell]
O2 0.3333 0.6667 0.0212 [2 per cell]